# 1
Entry from Alexandria via LeMat-Bulk: an optimized crystal structure of MgRh2W (GGA-PBE).

The total energy comes out at -7.3931 eV per atom. The crystal system is orthorhombic.

It has space group Imm2 (No. 44), with a = 3.090 Å, b = 4.335 Å, c = 9.135 Å, α = 90.00°, β = 90.00° and γ = 90.00°. The inequivalent atoms are Mg at (0.000, 0.000, 0.000), Rh at (0.000, 0.000, 0.508), Rh at (0.000, 0.500, 0.744) and W at (0.000, 0.500, 0.238).

---

# 2
Entry from Alexandria via LeMat-Bulk: an optimized crystal structure of Mg2RhW (GGA-PBE).

The total energy comes out at -5.7267 eV per atom. The crystal system is monoclinic. The energy above the most stable polymorph in this dataset comes out at 196 meV/atom.

It has space group P2/m (No. 10), with a = 2.806 Å, b = 4.512 Å, c = 5.292 Å, α = 90.00°, β = 103.36° and γ = 90.00°. The inequivalent atoms are Mg at (0.193, 0.000, 0.258), Rh at (0.000, 0.500, 0.500) and W at (0.500, 0.500, 0.000).

---

# 3
Entry from Alexandria via LeMat-Bulk: an optimized crystal structure of Mg3Rh4W (GGA-PBE).

The total energy comes out at -6.2734 eV per atom. The crystal system is tetragonal.

It has space group P4/mmm (No. 123), with a = 3.011 Å, b = 3.011 Å, c = 13.267 Å, α = 90.00°, β = 90.00° and γ = 90.00°. The inequivalent atoms are Mg at (0.000, 0.000, 0.000), Mg at (0.000, 0.000, 0.242), Rh at (0.500, 0.500, 0.123), Rh at (0.500, 0.500, 0.373) and W at (0.000, 0.000, 0.500).

---

Number 1: volume 15.29 A^3/atom, ΔE_f -0.08 eV/atom. Number 2: volume 16.30 A^3/atom, ΔE_f 0.15 eV/atom. Number 3: volume 15.03 A^3/atom, ΔE_f -0.38 eV/atom.